(1)
Computed, not measured: a relaxed structure of Zr2BeAs at the GGA-PBE level of DFT.

abc: 4.254 4.254 3.856
angles: 90.00 90.00 90.00
Element x y z (fractional)
Zr  0.000  0.500  0.000
Zr  0.500  0.000  0.000
Be  0.000  0.000  0.500
As  0.500  0.500  0.500

Results
**Distance to the lowest polymorph of the same formula**: 446 meV/atom
**SG**: P4/mmm, No. 123
**E**: -26.86 eV/cell
**DFT formation energy**: -0.347 eV/atom


(2)
Computed, not measured: a relaxed structure of Li3Tm3ZrSe8 at the GGA-PBE level of DFT.

abc: 7.965 7.965 7.965
angles: 60.11 60.11 60.11
Element x y z (fractional)
Li  0.000  0.500  0.500
Li  0.500  0.000  0.500
Li  0.500  0.500  0.000
Tm  0.000  0.000  0.500
Tm  0.000  0.500  0.000
Tm  0.500  0.000  0.000
Zr  0.500  0.500  0.500
Se  0.251  0.251  0.251
Se  0.257  0.257  0.741
Se  0.257  0.741  0.257
Se  0.259  0.743  0.743
Se  0.741  0.257  0.257
Se  0.743  0.259  0.743
Se  0.743  0.743  0.259
Se  0.749  0.749  0.749

Results
**SG**: R-3m, No. 166
**E**: -79.83 eV/cell


(3)
Computed, not measured: a relaxed structure of Sr2TmSn4Au3 at the GGA-PBE level of DFT.

abc: 4.596 4.596 12.759
angles: 90.00 90.00 90.00
Element x y z (fractional)
Sr  0.000  0.500  0.239
Sr  0.500  0.000  0.761
Tm  0.000  0.000  0.500
Sn  0.000  0.000  0.000
Sn  0.000  0.500  0.649
Sn  0.500  0.000  0.351
Sn  0.500  0.500  0.000
Au  0.000  0.500  0.863
Au  0.500  0.000  0.137
Au  0.500  0.500  0.500

Results
**SG**: P-4m2, No. 115
**E**: -39.66 eV/cell
**DFT formation energy**: -0.598 eV/atom


(4)
Computed, not measured: a relaxed structure of BaCrW2 at the GGA-PBE level of DFT.

abc: 4.924 4.924 6.505
angles: 101.09 101.09 38.27
Element x y z (fractional)
Ba  0.000  0.000  0.000
Cr  0.222  0.222  0.622
W  0.514  0.514  0.514
W  0.788  0.788  0.388

Results
**Distance to the lowest polymorph of the same formula**: 152 meV/atom
**SG**: Cm, No. 8
**E**: -33.41 eV/cell
**DFT formation energy**: 1.010 eV/atom


(5)
Computed, not measured: a relaxed structure of BeCuSi at the GGA-PBE level of DFT.

abc: 3.888 3.960 5.794
angles: 73.23 70.58 60.61
Element x y z (fractional)
Be  0.000  0.000  0.000
Be  0.002  0.433  0.566
Cu  0.687  0.669  0.957
Cu  0.703  0.177  0.418
Si  0.291  0.282  0.136
Si  0.304  0.764  0.630

Results
**Distance to the lowest polymorph of the same formula**: 50 meV/atom
**SG**: P1, No. 1
**E**: -25.93 eV/cell


(6)
Computed, not measured: a relaxed structure of NaCu2H3O10 at the GGA-PBE level of DFT.

abc: 6.268 6.268 6.730
angles: 112.29 112.29 56.84
Element x y z (fractional)
Na  0.000  0.000  0.000
Cu  0.000  0.500  0.500
Cu  0.500  0.000  0.500
H  0.489  0.489  0.751
H  0.500  0.500  0.500
H  0.511  0.511  0.249
O  0.014  0.399  0.179
O  0.156  0.156  0.496
O  0.270  0.270  0.160
O  0.399  0.014  0.179
O  0.427  0.427  0.595
O  0.573  0.573  0.405
O  0.601  0.986  0.821
O  0.730  0.730  0.840
O  0.844  0.844  0.504
O  0.986  0.601  0.821

Results
**SG**: C2/m, No. 12
**E**: -75.13 eV/cell


no.,ρ (Mg/m³),total magnetic moment (μB per formula unit),calculated volume (Å³ per atom)
1,6.340,0.00,17.44
2,5.797,0.00,23.88
3,8.686,0.00,26.95
4,9.672,0.07,23.91
5,4.614,0.00,12.07
6,2.603,2.05,12.48